(1)
# Rb2ZrReO6 (PBE, optimized geometry)
data_Rb2ZrReO6
_space_group_name_H-M_alt 'F m -3 m'
_space_group_IT_number 225
_space_group_name_Hall '-F 4 2 3'
_cell_length_a 8.209
_cell_length_b 8.209
_cell_length_c 8.209
_cell_angle_alpha 90.00
_cell_angle_beta 90.00
_cell_angle_gamma 90.00
loop_
_atom_site_label
_atom_site_type_symbol
_atom_site_fract_x
_atom_site_fract_y
_atom_site_fract_z
_atom_site_occupancy
Rb1 Rb 0.250 0.250 0.250 1
Zr1 Zr 0.000 0.000 0.000 1
Re1 Re 0.000 0.000 0.500 1
O1 O 0.000 0.000 0.263 1
# Spin magnetization   0.000 μB/atom
# ΔE_f (raw)   -2.153 eV per atom
# DOS at the Fermi energy   3.399 states/eV/f.u.
# Uncorrected energy   -296.861 eV for the cell shown
# Crystal system   cubic
# Density   6.54 Mg/m³


(2)
# CeErTm2Sc4 (PBE, optimized geometry)
data_CeErTm2Sc4
_space_group_name_H-M_alt 'P 4/m m m'
_space_group_IT_number 123
_space_group_name_Hall '-P 4 2'
_cell_length_a 4.863
_cell_length_b 4.863
_cell_length_c 9.197
_cell_angle_alpha 90.00
_cell_angle_beta 90.00
_cell_angle_gamma 90.00
loop_
_atom_site_label
_atom_site_type_symbol
_atom_site_fract_x
_atom_site_fract_y
_atom_site_fract_z
_atom_site_occupancy
Ce1 Ce 0.000 0.000 0.000 1
Er1 Er 0.500 0.500 0.500 1
Tm1 Tm 0.000 0.000 0.500 1
Tm2 Tm 0.500 0.500 0.000 1
Sc1 Sc 0.000 0.500 0.248 1
# Spin magnetization   0.053 μB/atom
# DOS at the Fermi energy   14.900 states/eV/f.u.
# Uncorrected energy   -44.265 eV for the cell shown
# Crystal system   tetragonal
# Density   6.30 Mg/m³


(3)
# CrHg2Pb (PBE, optimized geometry)
data_CrHg2Pb
_space_group_name_H-M_alt 'P 4/m m m'
_space_group_IT_number 123
_space_group_name_Hall '-P 4 2'
_cell_length_a 4.463
_cell_length_b 4.463
_cell_length_c 4.707
_cell_angle_alpha 90.00
_cell_angle_beta 90.00
_cell_angle_gamma 90.00
loop_
_atom_site_label
_atom_site_type_symbol
_atom_site_fract_x
_atom_site_fract_y
_atom_site_fract_z
_atom_site_occupancy
Cr1 Cr 0.000 0.000 0.000 1
Hg1 Hg 0.000 0.500 0.500 1
Pb1 Pb 0.500 0.500 0.000 1
# Spin magnetization   1.042 μB/atom
# DOS at the Fermi energy   2.159 states/eV/f.u.
# Uncorrected energy   -12.416 eV for the cell shown
# Crystal system   tetragonal
# Density   11.70 Mg/m³


(4)
# Li2Nd2DyGa2 (PBE, optimized geometry)
data_Li2Nd2DyGa2
_space_group_name_H-M_alt 'R -3 m'
_space_group_IT_number 166
_space_group_name_Hall '-R 3 2"'
_cell_length_a 4.6364
_cell_length_b 4.6364
_cell_length_c 26.8854
_cell_angle_alpha 90.00
_cell_angle_beta 90.00
_cell_angle_gamma 120.00
loop_
_atom_site_label
_atom_site_type_symbol
_atom_site_fract_x
_atom_site_fract_y
_atom_site_fract_z
_atom_site_occupancy
Li1 Li 0.0000 0.0000 0.1103 1
Nd1 Nd 0.0000 0.0000 0.3747 1
Dy1 Dy 0.0000 0.0000 0.5000 1
Ga1 Ga 0.0000 0.0000 0.2332 1
# Spin magnetization   0.000 μB/atom
# DOS at the Fermi energy   5.869 states/eV/f.u.
# Uncorrected energy   -78.044 eV for the cell shown
# Crystal system   trigonal
# Density   6.01 Mg/m³


(5)
# Te2SeI (PBE, optimized geometry)
data_Te2SeI
_space_group_name_H-M_alt 'P 1 2/c 1'
_space_group_IT_number 13
_cell_length_a 7.297
_cell_length_b 5.959
_cell_length_c 14.989
_cell_angle_alpha 90.00
_cell_angle_beta 99.64
_cell_angle_gamma 90.00
loop_
_space_group_symop_operation_xyz
'x,y,z'
'-x,-y,-z'
'-x,y,-z+1/2'
'x,-y,z+1/2'
loop_
_atom_site_label
_atom_site_type_symbol
_atom_site_fract_x
_atom_site_fract_y
_atom_site_fract_z
_atom_site_occupancy
Te1 Te 0.047 0.150 0.111 1
Te2 Te 0.320 0.050 0.293 1
Se1 Se 0.178 0.203 0.553 1
I1 I 0.308 0.450 0.831 1
# Spin magnetization   0.000 μB/atom
# ΔE_f (raw)   0.026 eV per atom
# DOS at the Fermi energy   1.579 states/eV/f.u.
# Uncorrected energy   -44.853 eV for the cell shown
# Crystal system   monoclinic
# Density   4.77 Mg/m³


(6)
# Y2CrCdPd (PBE, optimized geometry)
data_Y2CrCdPd
_space_group_name_H-M_alt 'P 4/m m m'
_space_group_IT_number 123
_space_group_name_Hall '-P 4 2'
_cell_length_a 5.337
_cell_length_b 5.337
_cell_length_c 4.998
_cell_angle_alpha 90.00
_cell_angle_beta 90.00
_cell_angle_gamma 90.00
loop_
_atom_site_label
_atom_site_type_symbol
_atom_site_fract_x
_atom_site_fract_y
_atom_site_fract_z
_atom_site_occupancy
Y1 Y 0.000 0.500 0.000 1
Cr1 Cr 0.000 0.000 0.500 1
Cd1 Cd 0.500 0.500 0.500 1
Pd1 Pd 0.000 0.000 0.000 1
# Spin magnetization   0.895 μB/atom
# DOS at the Fermi energy   4.833 states/eV/f.u.
# Uncorrected energy   -27.952 eV for the cell shown
# Crystal system   tetragonal
# Density   5.23 Mg/m³


(7)
# YMg14Ti (PBE, optimized geometry)
data_YMg14Ti
_space_group_name_H-M_alt 'P -6 m 2'
_space_group_IT_number 187
_space_group_name_Hall 'P -6 2'
_cell_length_a 6.4894
_cell_length_b 6.4894
_cell_length_c 10.1970
_cell_angle_alpha 90.00
_cell_angle_beta 90.00
_cell_angle_gamma 120.00
loop_
_atom_site_label
_atom_site_type_symbol
_atom_site_fract_x
_atom_site_fract_y
_atom_site_fract_z
_atom_site_occupancy
Y1 Y 0.0000 0.0000 0.0000 1
Mg1 Mg 0.0117 0.5059 0.0000 1
Mg2 Mg 0.1649 0.3299 0.2592 1
Mg3 Mg 0.5008 0.0015 0.5000 1
Mg4 Mg 0.6667 0.3333 0.2413 1
Ti1 Ti 0.0000 0.0000 0.5000 1
# Spin magnetization   0.122 μB/atom
# DOS at the Fermi energy   10.425 states/eV/f.u.
# Uncorrected energy   -35.900 eV for the cell shown
# Crystal system   hexagonal
# Density   2.13 Mg/m³


(8)
# NdEr3Sc6 (PBE, optimized geometry)
data_NdEr3Sc6
_space_group_name_H-M_alt 'C m c 21'
_space_group_IT_number 36
_cell_length_a 10.455
_cell_length_b 17.884
_cell_length_c 5.865
_cell_angle_alpha 90.00
_cell_angle_beta 90.00
_cell_angle_gamma 90.00
loop_
_space_group_symop_operation_xyz
'x,y,z'
'-x,-y,z+1/2'
'-x,y,z'
'x,-y,z+1/2'
'x+1/2,y+1/2,z'
'-x+1/2,-y+1/2,z+1/2'
'-x+1/2,y+1/2,z'
'x+1/2,-y+1/2,z+1/2'
loop_
_atom_site_label
_atom_site_type_symbol
_atom_site_fract_x
_atom_site_fract_y
_atom_site_fract_z
_atom_site_occupancy
Nd1 Nd 0.000 0.213 0.000 1
Er1 Er 0.000 0.397 0.113 1
Er2 Er 0.178 0.104 0.709 1
Sc1 Sc 0.000 0.049 0.251 1
Sc2 Sc 0.000 0.295 0.547 1
Sc3 Sc 0.170 0.446 0.665 1
Sc4 Sc 0.235 0.216 0.317 1
# Spin magnetization   0.002 μB/atom
# DOS at the Fermi energy   13.963 states/eV/f.u.
# Uncorrected energy   -219.516 eV for the cell shown
# Crystal system   orthorhombic
# Density   5.55 Mg/m³


(9)
# YTaIr2Au (PBE, optimized geometry)
data_YTaIr2Au
_space_group_name_H-M_alt 'P 4/m m m'
_space_group_IT_number 123
_space_group_name_Hall '-P 4 2'
_cell_length_a 4.750
_cell_length_b 4.750
_cell_length_c 5.424
_cell_angle_alpha 90.00
_cell_angle_beta 90.00
_cell_angle_gamma 90.00
loop_
_atom_site_label
_atom_site_type_symbol
_atom_site_fract_x
_atom_site_fract_y
_atom_site_fract_z
_atom_site_occupancy
Y1 Y 0.000 0.000 0.000 1
Ta1 Ta 0.000 0.000 0.500 1
Ir1 Ir 0.000 0.500 0.500 1
Au1 Au 0.500 0.500 0.000 1
# Spin magnetization   0.000 μB/atom
# DOS at the Fermi energy   3.666 states/eV/f.u.
# Uncorrected energy   -34.409 eV for the cell shown
# Crystal system   tetragonal
# Density   11.55 Mg/m³


(10)
# CrInAs2 (PBE, optimized geometry)
data_CrInAs2
_space_group_name_H-M_alt 'R -3 m'
_space_group_IT_number 166
_space_group_name_Hall '-R 3 2"'
_cell_length_a 3.1249
_cell_length_b 3.1249
_cell_length_c 27.7418
_cell_angle_alpha 90.00
_cell_angle_beta 90.00
_cell_angle_gamma 120.00
loop_
_atom_site_label
_atom_site_type_symbol
_atom_site_fract_x
_atom_site_fract_y
_atom_site_fract_z
_atom_site_occupancy
Cr1 Cr 0.0000 0.0000 0.0000 1
In1 In 0.0000 0.0000 0.5000 1
As1 As 0.0000 0.0000 0.2722 1
# Spin magnetization   0.240 μB/atom
# DOS at the Fermi energy   2.370 states/eV/f.u.
# Uncorrected energy   -64.599 eV for the cell shown
# Crystal system   trigonal
# Density   6.72 Mg/m³


(11)
# LiY2MgC (PBE, optimized geometry)
data_LiY2MgC
_space_group_name_H-M_alt 'P 4/m m m'
_space_group_IT_number 123
_space_group_name_Hall '-P 4 2'
_cell_length_a 4.975
_cell_length_b 4.975
_cell_length_c 4.457
_cell_angle_alpha 90.00
_cell_angle_beta 90.00
_cell_angle_gamma 90.00
loop_
_atom_site_label
_atom_site_type_symbol
_atom_site_fract_x
_atom_site_fract_y
_atom_site_fract_z
_atom_site_occupancy
Li1 Li 0.000 0.000 0.000 1
Y1 Y 0.000 0.500 0.500 1
Mg1 Mg 0.500 0.500 0.000 1
C1 C 0.500 0.500 0.500 1
# Spin magnetization   0.000 μB/atom
# DOS at the Fermi energy   4.138 states/eV/f.u.
# Uncorrected energy   -25.780 eV for the cell shown
# Crystal system   tetragonal
# Density   3.33 Mg/m³


(12)
# OsSe3Cl (PBE, optimized geometry)
data_OsSe3Cl
_space_group_name_H-M_alt 'P m -3 m'
_space_group_IT_number 221
_space_group_name_Hall '-P 4 2 3'
_cell_length_a 4.763
_cell_length_b 4.763
_cell_length_c 4.763
_cell_angle_alpha 90.00
_cell_angle_beta 90.00
_cell_angle_gamma 90.00
loop_
_atom_site_label
_atom_site_type_symbol
_atom_site_fract_x
_atom_site_fract_y
_atom_site_fract_z
_atom_site_occupancy
Os1 Os 0.000 0.000 0.000 1
Se1 Se 0.000 0.500 0.500 1
Cl1 Cl 0.500 0.500 0.500 1
# Spin magnetization   0.001 μB/atom
# ΔE_f (raw)   1.889 eV per atom
# DOS at the Fermi energy   5.067 states/eV/f.u.
# Uncorrected energy   -14.085 eV for the cell shown
# Crystal system   cubic
# Density   7.11 Mg/m³


(13)
# Sm4CuNi3 (PBE, optimized geometry)
data_Sm4CuNi3
_space_group_name_H-M_alt 'P m m 2'
_space_group_IT_number 25
_cell_length_a 3.781
_cell_length_b 4.398
_cell_length_c 10.402
_cell_angle_alpha 90.00
_cell_angle_beta 90.00
_cell_angle_gamma 90.00
loop_
_space_group_symop_operation_xyz
'x,y,z'
'-x,-y,z'
'-x,y,z'
'x,-y,z'
loop_
_atom_site_label
_atom_site_type_symbol
_atom_site_fract_x
_atom_site_fract_y
_atom_site_fract_z
_atom_site_occupancy
Sm1 Sm 0.000 0.000 0.000 1
Sm2 Sm 0.000 0.500 0.270 1
Sm3 Sm 0.500 0.000 0.488 1
Sm4 Sm 0.500 0.500 0.773 1
Cu1 Cu 0.000 0.000 0.701 1
Ni1 Ni 0.000 0.500 0.563 1
Ni2 Ni 0.500 0.000 0.206 1
Ni3 Ni 0.500 0.500 0.061 1
# Spin magnetization   0.000 μB/atom
# DOS at the Fermi energy   6.671 states/eV/f.u.
# Uncorrected energy   -42.923 eV for the cell shown
# Crystal system   orthorhombic
# Density   8.07 Mg/m³


(14)
# TlCdHg2Pb2 (PBE, optimized geometry)
data_TlCdHg2Pb2
_space_group_name_H-M_alt 'P m c 21'
_space_group_IT_number 26
_cell_length_a 5.023
_cell_length_b 9.420
_cell_length_c 7.255
_cell_angle_alpha 90.00
_cell_angle_beta 90.00
_cell_angle_gamma 90.00
loop_
_space_group_symop_operation_xyz
'x,y,z'
'-x,-y,z+1/2'
'-x,y,z'
'x,-y,z+1/2'
loop_
_atom_site_label
_atom_site_type_symbol
_atom_site_fract_x
_atom_site_fract_y
_atom_site_fract_z
_atom_site_occupancy
Tl1 Tl 0.000 0.040 0.000 1
Cd1 Cd 0.500 0.188 0.679 1
Hg1 Hg 0.000 0.333 0.774 1
Hg2 Hg 0.500 0.124 0.263 1
Pb1 Pb 0.000 0.332 0.323 1
Pb2 Pb 0.500 0.455 0.036 1
# Spin magnetization   0.000 μB/atom
# DOS at the Fermi energy   2.696 states/eV/f.u.
# Uncorrected energy   -22.331 eV for the cell shown
# Crystal system   orthorhombic
# Density   10.96 Mg/m³


(15)
# K2H2Br (PBE, optimized geometry)
data_K2H2Br
_space_group_name_H-M_alt 'P -1'
_space_group_IT_number 2
_cell_length_a 4.813
_cell_length_b 4.815
_cell_length_c 8.183
_cell_angle_alpha 80.52
_cell_angle_beta 80.39
_cell_angle_gamma 62.84
loop_
_space_group_symop_operation_xyz
'x,y,z'
'-x,-y,-z'
loop_
_atom_site_label
_atom_site_type_symbol
_atom_site_fract_x
_atom_site_fract_y
_atom_site_fract_z
_atom_site_occupancy
K1 K 0.208 0.207 0.263 1
H1 H 0.077 0.922 0.000 1
Br1 Br 0.500 0.500 0.500 1
# Spin magnetization   0.136 μB/atom
# DOS at the Fermi energy   1.546 states/eV/f.u.
# Uncorrected energy   -13.514 eV for the cell shown
# Crystal system   triclinic
# Density   1.61 Mg/m³


(16)
# SmTm3Cd4 (PBE, optimized geometry)
data_SmTm3Cd4
_space_group_name_H-M_alt 'P 4/m m m'
_space_group_IT_number 123
_space_group_name_Hall '-P 4 2'
_cell_length_a 5.234
_cell_length_b 5.234
_cell_length_c 7.559
_cell_angle_alpha 90.00
_cell_angle_beta 90.00
_cell_angle_gamma 90.00
loop_
_atom_site_label
_atom_site_type_symbol
_atom_site_fract_x
_atom_site_fract_y
_atom_site_fract_z
_atom_site_occupancy
Sm1 Sm 0.000 0.000 0.000 1
Tm1 Tm 0.000 0.000 0.500 1
Tm2 Tm 0.500 0.500 0.000 1
Tm3 Tm 0.500 0.500 0.500 1
Cd1 Cd 0.000 0.500 0.258 1
# Spin magnetization   0.000 μB/atom
# DOS at the Fermi energy   7.526 states/eV/f.u.
# Uncorrected energy   -24.275 eV for the cell shown
# Crystal system   tetragonal
# Density   8.88 Mg/m³


(17)
# LiThMgCu (PBE, optimized geometry)
data_LiThMgCu
_space_group_name_H-M_alt 'F -4 3 m'
_space_group_IT_number 216
_space_group_name_Hall 'F -4 2 3'
_cell_length_a 6.911
_cell_length_b 6.911
_cell_length_c 6.911
_cell_angle_alpha 90.00
_cell_angle_beta 90.00
_cell_angle_gamma 90.00
loop_
_atom_site_label
_atom_site_type_symbol
_atom_site_fract_x
_atom_site_fract_y
_atom_site_fract_z
_atom_site_occupancy
Li1 Li 0.000 0.000 0.000 1
Th1 Th 0.250 0.250 0.250 1
Mg1 Mg 0.250 0.250 0.750 1
Cu1 Cu 0.000 0.000 0.500 1
# Spin magnetization   0.000 μB/atom
# DOS at the Fermi energy   1.609 states/eV/f.u.
# Uncorrected energy   -60.318 eV for the cell shown
# Crystal system   cubic
# Density   6.58 Mg/m³


(18)
# Ca2RePbO8 (PBE, optimized geometry)
data_Ca2RePbO8
_space_group_name_H-M_alt 'C m m m'
_space_group_IT_number 65
_space_group_name_Hall '-C 2 2'
_cell_length_a 6.966
_cell_length_b 7.358
_cell_length_c 6.909
_cell_angle_alpha 90.00
_cell_angle_beta 90.00
_cell_angle_gamma 90.00
loop_
_atom_site_label
_atom_site_type_symbol
_atom_site_fract_x
_atom_site_fract_y
_atom_site_fract_z
_atom_site_occupancy
Ca1 Ca 0.000 0.000 0.245 1
Re1 Re 0.000 0.500 0.000 1
Pb1 Pb 0.000 0.500 0.500 1
O1 O 0.000 0.322 0.200 1
O2 O 0.213 0.000 0.500 1
O3 O 0.230 0.000 0.000 1
# Spin magnetization   0.088 μB/atom
# ΔE_f (raw)   -1.727 eV per atom
# DOS at the Fermi energy   4.328 states/eV/f.u.
# Uncorrected energy   -161.105 eV for the cell shown
# Crystal system   orthorhombic
# Density   5.64 Mg/m³


(19)
# Sc3IrSe (PBE, optimized geometry)
data_Sc3IrSe
_space_group_name_H-M_alt 'P m -3 m'
_space_group_IT_number 221
_space_group_name_Hall '-P 4 2 3'
_cell_length_a 4.848
_cell_length_b 4.848
_cell_length_c 4.848
_cell_angle_alpha 90.00
_cell_angle_beta 90.00
_cell_angle_gamma 90.00
loop_
_atom_site_label
_atom_site_type_symbol
_atom_site_fract_x
_atom_site_fract_y
_atom_site_fract_z
_atom_site_occupancy
Sc1 Sc 0.000 0.000 0.500 1
Ir1 Ir 0.500 0.500 0.500 1
Se1 Se 0.000 0.000 0.000 1
# Spin magnetization   0.000 μB/atom
# ΔE_f (raw)   -0.157 eV per atom
# DOS at the Fermi energy   12.030 states/eV/f.u.
# Uncorrected energy   -32.127 eV for the cell shown
# Crystal system   cubic
# Density   5.92 Mg/m³


(20)
# HfU2S4 (PBE, optimized geometry)
data_HfU2S4
_space_group_name_H-M_alt 'C m c m'
_space_group_IT_number 63
_space_group_name_Hall '-C 2c 2'
_cell_length_a 3.569
_cell_length_b 12.943
_cell_length_c 12.919
_cell_angle_alpha 90.00
_cell_angle_beta 90.00
_cell_angle_gamma 90.00
loop_
_atom_site_label
_atom_site_type_symbol
_atom_site_fract_x
_atom_site_fract_y
_atom_site_fract_z
_atom_site_occupancy
Hf1 Hf 0.000 0.133 0.250 1
U1 U 0.000 0.363 0.074 1
S1 S 0.000 0.000 0.000 1
S2 S 0.000 0.288 0.628 1
S3 S 0.000 0.484 0.250 1
# Spin magnetization   0.778 μB/atom
# ΔE_f (raw)   -1.266 eV per atom
# DOS at the Fermi energy   10.761 states/eV/f.u.
# Uncorrected energy   -231.613 eV for the cell shown
# Crystal system   orthorhombic
# Density   8.71 Mg/m³